Ti4FeP6O24: relaxed, GGA+U.

```
Ti4FeP6O24
1.0
8.636 0.000 0.000
4.318 7.479 0.000
4.318 2.493 14.121
Ti P O Fe
8 12 48 2
direct
0.304 0.304 0.089
0.947 0.947 0.158
0.195 0.195 0.416
0.444 0.444 0.667
0.053 0.053 0.842
0.556 0.556 0.333
0.696 0.696 0.911
0.805 0.805 0.584
0.037 0.760 0.743
0.289 0.711 0.000
0.963 0.540 0.257
0.760 0.460 0.743
0.213 0.500 0.500
0.460 0.037 0.743
0.500 0.787 0.500
0.540 0.240 0.257
0.240 0.963 0.257
0.711 0.000 0.000
0.000 0.289 0.000
0.787 0.213 0.500
0.944 0.167 0.088
0.697 0.837 0.989
0.726 0.350 0.411
0.955 0.723 0.261
0.650 0.274 0.589
0.277 0.090 0.169
0.426 0.229 0.743
0.303 0.524 0.011
0.229 0.602 0.743
0.185 0.327 0.514
0.974 0.185 0.514
0.037 0.410 0.348
0.327 0.974 0.514
0.056 0.199 0.912
0.167 0.801 0.088
0.837 0.476 0.989
0.090 0.463 0.169
0.163 0.303 0.011
0.963 0.795 0.652
0.205 0.037 0.348
0.398 0.771 0.257
0.524 0.163 0.011
0.410 0.205 0.348
0.771 0.574 0.257
0.590 0.963 0.652
0.795 0.590 0.652
0.815 0.026 0.486
0.476 0.697 0.989
0.026 0.673 0.486
0.673 0.815 0.486
0.045 0.939 0.739
0.574 0.398 0.257
0.277 0.045 0.739
0.537 0.910 0.831
0.910 0.723 0.831
0.350 0.513 0.411
0.487 0.650 0.589
0.801 0.944 0.088
0.513 0.726 0.411
0.723 0.537 0.831
0.463 0.277 0.169
0.602 0.426 0.743
0.274 0.487 0.589
0.723 0.061 0.261
0.833 0.056 0.912
0.199 0.833 0.912
0.061 0.955 0.261
0.939 0.277 0.739
0.875 0.875 0.374
0.125 0.125 0.626
```

Calculated values
* spin magnetization: 4.112 μB per formula unit
* total DFT energy (no corrections): -7.88 eV per atom
* symmetry: R32, No. 155